# K2Ga2Cl7

A geometry-optimized K2Ga2Cl7 structure (GGA-PBE, Alexandria). Values from VASP.

Energy relative to the elements, uncorrected: -130.48 kJ/mol of atoms
Magnetization: 0.08 μB per atom

Quantum ESPRESSO input file:
```
&SYSTEM
  ibrav = 0, nat = 11, ntyp = 3
/
ATOMIC_SPECIES
K 39.10 K.upf
Ga 69.72 Ga.upf
Cl 35.45 Cl.upf
ATOMIC_POSITIONS angstrom
K 5.106 3.669 0.000
K 5.106 -3.669 0.000
Ga 2.049 0.000 3.697
Ga 6.778 0.000 2.601
Cl 1.514 1.857 4.902
Cl 0.783 0.000 1.816
Cl 1.514 -1.857 4.902
Cl 4.413 0.000 3.149
Cl 7.312 1.857 1.396
Cl 8.043 0.000 4.482
Cl 7.312 -1.857 1.396
CELL_PARAMETERS angstrom
5.106 -6.170 0.000
5.106 6.170 0.000
-1.386 0.000 6.298
```

---

# LaTa2Ag

A geometry-optimized LaTa2Ag structure (GGA-PBE, Alexandria). Values from VASP.

Relative energy among the computed polymorphs: 366 meV per atom
Magnetization: 0.07 μB per atom

Quantum ESPRESSO input file:
```
&SYSTEM
  ibrav = 0, nat = 12, ntyp = 3
/
ATOMIC_SPECIES
La 138.91 La.upf
Ta 180.95 Ta.upf
Ag 107.87 Ag.upf
ATOMIC_POSITIONS angstrom
La 0.000 0.000 0.000
La 0.000 1.728 21.701
La 1.497 0.864 10.850
Ta 0.000 0.000 7.858
Ta 0.000 0.000 24.693
Ta 0.000 1.728 13.843
Ta 0.000 1.728 29.559
Ta 1.497 0.864 2.993
Ta 1.497 0.864 18.708
Ag 0.000 0.000 16.276
Ag 0.000 1.728 5.425
Ag 1.497 0.864 27.126
CELL_PARAMETERS angstrom
2.993 0.000 0.000
-1.497 2.592 0.000
0.000 0.000 32.551
```

---

# K13Sn2

A geometry-optimized K13Sn2 structure (GGA-PBE, Alexandria). Values from VASP.

Magnetization: 0.00 μB per atom
VASP energy: -22.86 eV/cell

Quantum ESPRESSO input file:
```
&SYSTEM
  ibrav = 0, nat = 15, ntyp = 2
/
ATOMIC_SPECIES
K 39.10 K.upf
Sn 118.71 Sn.upf
ATOMIC_POSITIONS angstrom
K 0.000 0.000 0.000
K 1.981 8.587 6.718
K 1.695 3.343 7.011
K 3.272 5.973 0.499
K 2.682 1.977 2.841
K 4.566 6.469 9.234
K 5.110 5.577 4.676
K 6.077 9.191 5.996
K 6.621 8.299 1.438
K 8.505 12.791 7.831
K 7.916 8.795 10.173
K 9.492 11.424 3.661
K 9.206 6.181 3.954
Sn 3.485 8.653 3.255
Sn 7.702 6.115 7.417
CELL_PARAMETERS angstrom
8.413 0.000 0.000
2.411 10.000 0.000
0.364 4.768 10.672
```

---

# SrCuOs2Cl

A geometry-optimized SrCuOs2Cl structure (GGA-PBE, Alexandria). Values from VASP.

Energy relative to the elements, uncorrected: 111.72 kJ/mol of atoms
Magnetization: 0.80 μB per atom

Quantum ESPRESSO input file:
```
&SYSTEM
  ibrav = 0, nat = 5, ntyp = 4
/
ATOMIC_SPECIES
Sr 87.62 Sr.upf
Cu 63.55 Cu.upf
Os 190.23 Os.upf
Cl 35.45 Cl.upf
ATOMIC_POSITIONS angstrom
Sr 0.000 0.000 0.000
Cu 0.000 0.000 3.066
Os 0.000 2.273 3.066
Os 2.273 0.000 3.066
Cl 2.273 2.273 0.000
CELL_PARAMETERS angstrom
4.546 0.000 0.000
0.000 4.546 0.000
0.000 0.000 6.132
```

---

# MnPt2Br

A geometry-optimized MnPt2Br structure (GGA-PBE, Alexandria). Values from VASP.

Relative energy among the computed polymorphs: 0 meV per atom
Energy relative to the elements, uncorrected: 4.82 kJ/mol of atoms
Magnetization: 1.06 μB per atom

Quantum ESPRESSO input file:
```
&SYSTEM
  ibrav = 0, nat = 8, ntyp = 3
/
ATOMIC_SPECIES
Mn 54.94 Mn.upf
Pt 195.08 Pt.upf
Br 79.90 Br.upf
ATOMIC_POSITIONS angstrom
Mn 0.000 0.000 0.000
Mn 4.727 1.496 0.000
Pt -0.372 1.496 4.924
Pt 1.778 0.000 5.176
Pt 4.355 0.000 4.924
Pt 6.505 1.496 5.176
Br 0.086 1.496 1.980
Br 4.813 0.000 1.980
CELL_PARAMETERS angstrom
9.454 0.000 0.000
0.000 2.992 0.000
-1.434 0.000 6.748
```

---

# Nd2Sm3Tl3

A geometry-optimized Nd2Sm3Tl3 structure (GGA-PBE, Alexandria). Values from VASP.

Magnetization: 0.00 μB per atom
VASP energy: -65.91 eV/cell

Quantum ESPRESSO input file:
```
&SYSTEM
  ibrav = 0, nat = 16, ntyp = 3
/
ATOMIC_SPECIES
Nd 144.24 Nd.upf
Sm 150.36 Sm.upf
Tl 204.38 Tl.upf
ATOMIC_POSITIONS angstrom
Nd 0.000 0.000 5.011
Nd 0.000 0.000 16.087
Nd 2.264 2.522 5.538
Nd 2.264 2.522 15.559
Sm 0.000 0.000 0.000
Sm 0.000 2.522 2.488
Sm 0.000 2.522 18.610
Sm 2.264 0.000 8.061
Sm 2.264 0.000 13.036
Sm 2.264 2.522 10.549
Tl 0.000 0.000 10.549
Tl 0.000 2.522 7.913
Tl 0.000 2.522 13.184
Tl 2.264 0.000 2.636
Tl 2.264 0.000 18.462
Tl 2.264 2.522 0.000
CELL_PARAMETERS angstrom
4.528 0.000 0.000
0.000 5.043 0.000
0.000 0.000 21.097
```

---

# TiHgRh3

A geometry-optimized TiHgRh3 structure (GGA-PBE, Alexandria). Values from VASP.

Relative energy among the computed polymorphs: 0 meV per atom
Magnetization: 0.00 μB per atom

Quantum ESPRESSO input file:
```
&SYSTEM
  ibrav = 0, nat = 5, ntyp = 3
/
ATOMIC_SPECIES
Ti 47.87 Ti.upf
Hg 200.59 Hg.upf
Rh 102.91 Rh.upf
ATOMIC_POSITIONS angstrom
Ti 0.000 0.000 0.000
Hg 2.279 2.279 2.279
Rh 0.000 0.000 2.279
Rh 0.000 2.279 0.000
Rh 2.279 0.000 0.000
CELL_PARAMETERS angstrom
4.558 0.000 0.000
0.000 4.558 0.000
0.000 0.000 4.558
```

---

# OsRuPb2

A geometry-optimized OsRuPb2 structure (GGA-PBE, Alexandria). Values from VASP.

Relative energy among the computed polymorphs: 538 meV per atom
Magnetization: 0.00 μB per atom

Quantum ESPRESSO input file:
```
&SYSTEM
  ibrav = 0, nat = 8, ntyp = 3
/
ATOMIC_SPECIES
Os 190.23 Os.upf
Ru 101.07 Ru.upf
Pb 207.20 Pb.upf
ATOMIC_POSITIONS angstrom
Os 0.000 0.000 0.000
Os 1.670 2.717 0.000
Ru 0.000 0.000 4.381
Ru 1.670 2.717 4.381
Pb 0.000 2.717 2.216
Pb 0.000 2.717 6.545
Pb 1.670 0.000 2.216
Pb 1.670 0.000 6.545
CELL_PARAMETERS angstrom
3.339 0.000 0.000
0.000 5.434 0.000
0.000 0.000 8.761
```

---

# Pm2Sm2Er5

A geometry-optimized Pm2Sm2Er5 structure (GGA-PBE, Alexandria). Values from VASP.

Relative energy among the computed polymorphs: 128 meV per atom
Magnetization: 0.00 μB per atom

Quantum ESPRESSO input file:
```
&SYSTEM
  ibrav = 0, nat = 18, ntyp = 3
/
ATOMIC_SPECIES
Pm 145.00 Pm.upf
Sm 150.36 Sm.upf
Er 167.26 Er.upf
ATOMIC_POSITIONS angstrom
Pm 1.894 0.056 0.000
Pm 5.575 0.056 0.000
Pm 1.894 5.840 3.364
Pm 5.575 5.840 3.364
Sm 0.000 0.000 3.034
Sm 7.469 0.000 3.034
Sm 3.735 -0.132 3.702
Sm 3.735 6.028 0.337
Er 3.735 2.916 -1.013
Er 9.596 3.118 -1.115
Er 5.343 -2.778 2.250
Er 0.795 3.038 1.003
Er 6.674 3.038 1.003
Er -2.126 2.778 2.250
Er 9.596 2.778 2.250
Er 3.735 2.981 2.352
Er -0.795 8.754 1.003
Er 0.795 2.858 4.368
CELL_PARAMETERS angstrom
-7.469 5.896 3.364
7.469 -5.896 3.364
7.469 5.896 -3.364
```

---

# CaMoIr2

A geometry-optimized CaMoIr2 structure (GGA-PBE, Alexandria). Values from VASP.

Relative energy among the computed polymorphs: 207 meV per atom
Magnetization: 0.00 μB per atom

Quantum ESPRESSO input file:
```
&SYSTEM
  ibrav = 0, nat = 4, ntyp = 3
/
ATOMIC_SPECIES
Ca 40.08 Ca.upf
Mo 95.94 Mo.upf
Ir 192.22 Ir.upf
ATOMIC_POSITIONS angstrom
Ca 0.000 0.000 0.000
Mo 0.180 2.371 2.999
Ir 1.455 2.371 0.569
Ir 1.411 0.000 2.425
CELL_PARAMETERS angstrom
2.893 0.000 0.000
0.000 4.741 0.000
-0.483 0.000 4.942
```

---

# Bi3AuBr

A geometry-optimized Bi3AuBr structure (GGA-PBE, Alexandria). Values from VASP.

Relative energy among the computed polymorphs: 1121 meV per atom
Energy relative to the elements, uncorrected: 96.13 kJ/mol of atoms
Magnetization: 0.00 μB per atom

Quantum ESPRESSO input file:
```
&SYSTEM
  ibrav = 0, nat = 5, ntyp = 3
/
ATOMIC_SPECIES
Bi 208.98 Bi.upf
Au 196.97 Au.upf
Br 79.90 Br.upf
ATOMIC_POSITIONS angstrom
Bi 0.000 0.000 2.829
Bi 0.000 2.829 0.000
Bi 2.829 0.000 0.000
Au 2.829 2.829 2.829
Br 0.000 0.000 0.000
CELL_PARAMETERS angstrom
5.659 0.000 0.000
0.000 5.659 0.000
0.000 0.000 5.659
```

---

# Na2CdO2

A geometry-optimized Na2CdO2 structure (GGA-PBE, Alexandria). Values from VASP.

Energy relative to the elements, uncorrected: -94.56 kJ/mol of atoms
Magnetization: 0.00 μB per atom

Quantum ESPRESSO input file:
```
&SYSTEM
  ibrav = 0, nat = 10, ntyp = 3
/
ATOMIC_SPECIES
Na 22.99 Na.upf
Cd 112.41 Cd.upf
O 16.00 O.upf
ATOMIC_POSITIONS angstrom
Na 0.836 2.337 0.000
Na 2.337 5.511 0.000
Na 4.010 0.836 0.000
Na 5.511 4.010 0.000
Cd 0.000 0.000 1.690
Cd 3.174 3.174 1.690
O 1.157 4.331 1.690
O 2.017 1.157 1.690
O 4.331 5.191 1.690
O 5.191 2.017 1.690
CELL_PARAMETERS angstrom
6.348 0.000 0.000
0.000 6.348 0.000
0.000 0.000 3.380
```

---

# BeVBr2

A geometry-optimized BeVBr2 structure (GGA-PBE, Alexandria). Values from VASP.

Relative energy among the computed polymorphs: 318 meV per atom
Energy relative to the elements, uncorrected: 55.81 kJ/mol of atoms
Magnetization: 0.74 μB per atom

Quantum ESPRESSO input file:
```
&SYSTEM
  ibrav = 0, nat = 16, ntyp = 3
/
ATOMIC_SPECIES
Be 9.01 Be.upf
V 50.94 V.upf
Br 79.90 Br.upf
ATOMIC_POSITIONS angstrom
Be 0.000 0.000 0.000
Be 0.000 3.363 3.363
Be 3.363 0.000 3.363
Be 3.363 3.363 0.000
V 0.000 0.000 3.363
V 0.000 3.363 0.000
V 3.363 0.000 0.000
V 3.363 3.363 3.363
Br 1.681 1.681 1.681
Br 1.681 1.681 5.044
Br 1.681 5.044 1.681
Br 1.681 5.044 5.044
Br 5.044 1.681 1.681
Br 5.044 1.681 5.044
Br 5.044 5.044 1.681
Br 5.044 5.044 5.044
CELL_PARAMETERS angstrom
6.725 0.000 0.000
0.000 6.725 0.000
0.000 0.000 6.725
```

---

# BaSb2

A geometry-optimized BaSb2 structure (GGA-PBE, Alexandria). Values from VASP.

Energy relative to the elements, uncorrected: -53.64 kJ/mol of atoms
Magnetization: 0.00 μB per atom

Quantum ESPRESSO input file:
```
&SYSTEM
  ibrav = 0, nat = 9, ntyp = 2
/
ATOMIC_SPECIES
Ba 137.33 Ba.upf
Sb 121.76 Sb.upf
ATOMIC_POSITIONS angstrom
Ba 0.000 0.000 0.000
Ba 0.000 5.739 2.191
Ba 4.970 2.869 2.191
Sb -1.415 2.450 2.191
Sb -2.365 4.096 0.000
Sb 2.829 0.000 2.191
Sb 4.729 0.000 0.000
Sb 2.605 4.513 0.000
Sb 3.556 6.158 2.191
CELL_PARAMETERS angstrom
9.940 0.000 0.000
-4.970 8.608 0.000
0.000 0.000 4.382
```

---

# Mg2Cu2Mo

A geometry-optimized Mg2Cu2Mo structure (GGA-PBE, Alexandria). Values from VASP.

Magnetization: 0.00 μB per atom
VASP energy: -41.81 eV/cell

Quantum ESPRESSO input file:
```
&SYSTEM
  ibrav = 0, nat = 10, ntyp = 3
/
ATOMIC_SPECIES
Mg 24.30 Mg.upf
Cu 63.55 Cu.upf
Mo 95.94 Mo.upf
ATOMIC_POSITIONS angstrom
Mg 1.308 2.431 0.000
Mg 2.431 6.171 0.000
Mg 5.048 1.308 0.000
Mg 6.171 5.048 0.000
Cu 0.914 4.654 1.370
Cu 2.825 0.914 1.370
Cu 4.654 6.565 1.370
Cu 6.565 2.825 1.370
Mo 0.000 0.000 1.370
Mo 3.740 3.740 1.370
CELL_PARAMETERS angstrom
7.479 0.000 0.000
0.000 7.479 0.000
0.000 0.000 2.740
```

---

# Dy2PdPt2

A geometry-optimized Dy2PdPt2 structure (GGA-PBE, Alexandria). Values from VASP.

Relative energy among the computed polymorphs: 0 meV per atom
Magnetization: 0.00 μB per atom

Quantum ESPRESSO input file:
```
&SYSTEM
  ibrav = 0, nat = 10, ntyp = 3
/
ATOMIC_SPECIES
Dy 162.50 Dy.upf
Pd 106.42 Pd.upf
Pt 195.08 Pt.upf
ATOMIC_POSITIONS angstrom
Dy 1.301 0.000 1.124
Dy -0.505 2.031 3.920
Dy 6.400 2.031 1.124
Dy 4.594 0.000 3.920
Pd -2.152 0.000 2.522
Pd 2.947 2.031 2.522
Pt -3.422 2.031 4.019
Pt 4.217 0.000 1.026
Pt 1.677 0.000 4.019
Pt 9.316 2.031 1.026
CELL_PARAMETERS angstrom
10.198 0.000 0.000
0.000 4.062 0.000
-4.303 0.000 5.044
```

---

# Ca4HN

A geometry-optimized Ca4HN structure (GGA-PBE, Alexandria). Values from VASP.

Relative energy among the computed polymorphs: 27 meV per atom
Magnetization: 0.00 μB per atom

Quantum ESPRESSO input file:
```
&SYSTEM
  ibrav = 0, nat = 6, ntyp = 3
/
ATOMIC_SPECIES
Ca 40.08 Ca.upf
H 1.01 H.upf
N 14.01 N.upf
ATOMIC_POSITIONS angstrom
Ca 0.997 0.000 1.366
Ca 0.061 1.850 4.655
Ca 4.384 1.850 1.429
Ca 3.448 0.000 4.718
H 3.162 0.000 0.000
N 0.000 1.850 0.000
CELL_PARAMETERS angstrom
6.324 0.000 0.000
0.000 3.701 0.000
-1.878 0.000 6.084
```

---

# BaRhAu

A geometry-optimized BaRhAu structure (GGA-PBE, Alexandria). Values from VASP.

Relative energy among the computed polymorphs: 327 meV per atom
Magnetization: 0.00 μB per atom

Quantum ESPRESSO input file:
```
&SYSTEM
  ibrav = 0, nat = 12, ntyp = 3
/
ATOMIC_SPECIES
Ba 137.33 Ba.upf
Rh 102.91 Rh.upf
Au 196.97 Au.upf
ATOMIC_POSITIONS angstrom
Ba 0.000 0.000 0.000
Ba 0.000 3.438 3.438
Ba 3.438 0.000 3.438
Ba 3.438 3.438 0.000
Rh 1.719 1.719 1.719
Rh 1.719 5.158 5.158
Rh 5.158 1.719 5.158
Rh 5.158 5.158 1.719
Au 0.000 0.000 3.438
Au 0.000 3.438 0.000
Au 3.438 0.000 0.000
Au 3.438 3.438 3.438
CELL_PARAMETERS angstrom
6.877 0.000 0.000
0.000 6.877 0.000
0.000 0.000 6.877
```

---

# Ac2La8Nd

A geometry-optimized Ac2La8Nd structure (GGA-PBE, Alexandria). Values from VASP.

Relative energy among the computed polymorphs: 0 meV per atom
Magnetization: 0.00 μB per atom

Quantum ESPRESSO input file:
```
&SYSTEM
  ibrav = 0, nat = 11, ntyp = 3
/
ATOMIC_SPECIES
Ac 227.00 Ac.upf
La 138.91 La.upf
Nd 144.24 Nd.upf
ATOMIC_POSITIONS angstrom
Ac 2.964 0.000 2.211
Ac 12.908 0.000 4.747
La 7.000 1.632 0.690
La 3.133 0.000 5.776
La 8.872 1.632 6.269
La 6.275 0.000 4.101
La 9.597 0.000 2.858
La 7.000 -1.632 0.690
La 12.738 0.000 1.182
La 8.872 -1.632 6.269
Nd -0.640 0.000 3.479
CELL_PARAMETERS angstrom
8.575 -3.525 0.000
8.575 3.525 0.000
-1.279 0.000 6.958
```